Density functional theory data (PBE-GGA) for a relaxed LaTbCo2Ge4 crystal.

The energy is -5.94 eV/atom. As for the total magnetization: 0.0 μB per cell.

The space group is Amm2 (No. 38) and the conventional cell measures 4.1964, 4.2211 and 16.7450 Å, with angles of 90.00, 90.00 and 90.00 degrees. The asymmetric unit holds La at (0.0000, 0.0000, 0.0000), Tb at (0.5000, 0.0000, 0.2184), Co at (0.0000, 0.0000, 0.7891), Co at (0.5000, 0.0000, 0.4265), Ge at (0.0000, 0.0000, 0.3568), Ge at (0.0000, 0.0000, 0.6547), Ge at (0.5000, 0.0000, 0.5651) and Ge at (0.5000, 0.0000, 0.8560).

***

Density functional theory data (PBE-GGA) for a relaxed LaCoTcGe2 crystal.

The energy is -6.84 eV/atom. As for the total magnetization: 0.0 μB per cell.

The space group is I-4m2 (No. 119) and the conventional cell measures 4.2220, 4.2220 and 10.2775 Å, with angles of 90.00, 90.00 and 90.00 degrees. The asymmetric unit holds La at (0.0000, 0.0000, 0.0000), Co at (0.0000, 0.5000, 0.2500), Tc at (0.0000, 0.5000, 0.7500) and Ge at (0.0000, 0.0000, 0.3663).

***

Density functional theory data (PBE-GGA) for a relaxed LaYCo2Ge4 crystal.

The energy is -6.17 eV/atom. As for the total magnetization: 0.0 μB per cell.

The space group is Amm2 (No. 38) and the conventional cell measures 4.1946, 4.2195 and 16.7345 Å, with angles of 90.00, 90.00 and 90.00 degrees. The asymmetric unit holds La at (0.0000, 0.0000, 0.0000), Y at (0.5000, 0.0000, 0.2182), Co at (0.0000, 0.0000, 0.7891), Co at (0.5000, 0.0000, 0.4265), Ge at (0.0000, 0.0000, 0.3569), Ge at (0.0000, 0.0000, 0.6547), Ge at (0.5000, 0.0000, 0.5650) and Ge at (0.5000, 0.0000, 0.8561).

***

Density functional theory data (PBE-GGA) for a relaxed LiCo6Ge6 crystal.

The energy is -5.83 eV/atom. As for the total magnetization: 0.0 μB per cell.

The space group is P6/mmm (No. 191) and the conventional cell measures 5.0462, 5.0462 and 7.6622 Å, with angles of 90.00, 90.00 and 120.00 degrees. The asymmetric unit holds Li at (0.0000, 0.0000, 0.0000), Co at (0.0000, 0.5000, 0.2499), Ge at (0.0000, 0.0000, 0.3317), Ge at (0.3333, 0.6667, 0.0000) and Ge at (0.3333, 0.6667, 0.5000).

***

Density functional theory data (PBE-GGA) for a relaxed LiCoGe crystal.

The energy is -4.54 eV/atom. As for the total magnetization: 0.0 μB per cell.

The space group is F-43m (No. 216) and the conventional cell measures 5.5552, 5.5552 and 5.5552 Å, with angles of 90.00, 90.00 and 90.00 degrees. The asymmetric unit holds Li at (0.0000, 0.0000, 0.0000), Co at (0.0000, 0.0000, 0.5000) and Ge at (0.2500, 0.2500, 0.7500).

***

Density functional theory data (PBE-GGA) for a relaxed LiLuCoGe crystal.

The distance to the lowest polymorph of the same formula is 0.0 kJ/mol of formula units. As for the total magnetization: 0.3 μB per cell.

The space group is F-43m (No. 216) and the conventional cell measures 6.2086, 6.2086 and 6.2086 Å, with angles of 90.00, 90.00 and 90.00 degrees. The asymmetric unit holds Li at (0.0000, 0.0000, 0.0000), Lu at (0.2500, 0.2500, 0.7500), Co at (0.0000, 0.0000, 0.5000) and Ge at (0.2500, 0.2500, 0.2500).

***

Density functional theory data (PBE-GGA) for a relaxed LiLuCoGe crystal.

The distance to the lowest polymorph of the same formula is 56.3 kJ/mol of formula units. As for the total magnetization: 1.5 μB per cell.

The space group is F-43m (No. 216) and the conventional cell measures 6.2794, 6.2794 and 6.2794 Å, with angles of 90.00, 90.00 and 90.00 degrees. The asymmetric unit holds Li at (0.0000, 0.0000, 0.0000), Lu at (0.2500, 0.2500, 0.2500), Co at (0.2500, 0.2500, 0.7500) and Ge at (0.0000, 0.0000, 0.5000).

***

Density functional theory data (PBE-GGA) for a relaxed LiNbCoGe crystal.

The distance to the lowest polymorph of the same formula is 92.4 kJ/mol of formula units. As for the total magnetization: 6.2 μB per cell.

The space group is F-43m (No. 216) and the conventional cell measures 6.0176, 6.0176 and 6.0176 Å, with angles of 90.00, 90.00 and 90.00 degrees. The asymmetric unit holds Li at (0.0000, 0.0000, 0.0000), Nb at (0.2500, 0.2500, 0.2500), Co at (0.2500, 0.2500, 0.7500) and Ge at (0.0000, 0.0000, 0.5000).

***

Density functional theory data (PBE-GGA) for a relaxed LiNbCoGe crystal.

The distance to the lowest polymorph of the same formula is 0.0 kJ/mol of formula units. As for the total magnetization: 3.9 μB per cell.

The space group is F-43m (No. 216) and the conventional cell measures 5.9440, 5.9440 and 5.9440 Å, with angles of 90.00, 90.00 and 90.00 degrees. The asymmetric unit holds Li at (0.0000, 0.0000, 0.0000), Nb at (0.2500, 0.2500, 0.7500), Co at (0.0000, 0.0000, 0.5000) and Ge at (0.2500, 0.2500, 0.2500).

***

Density functional theory data (PBE-GGA) for a relaxed Li2ScCoNi2Ge2 crystal.

The energy is -5.03 eV/atom. As for the total magnetization: 1.7 μB per cell.

The space group is P-4m2 (No. 115) and the conventional cell measures 4.0912, 4.0912 and 6.2236 Å, with angles of 90.00, 90.00 and 90.00 degrees. The asymmetric unit holds Li at (0.0000, 0.5000, 0.2203), Sc at (0.0000, 0.0000, 0.5000), Co at (0.5000, 0.5000, 0.0000), Ni at (0.0000, 0.0000, 0.0000), Ni at (0.5000, 0.5000, 0.5000) and Ge at (0.0000, 0.5000, 0.7854).

***

Density functional theory data (PBE-GGA) for a relaxed Li2ZrCo2NiGe2 crystal.

The energy is -5.46 eV/atom. As for the total magnetization: 0.5 μB per cell.

The space group is P-4m2 (No. 115) and the conventional cell measures 4.1587, 4.1587 and 5.9525 Å, with angles of 90.00, 90.00 and 90.00 degrees. The asymmetric unit holds Li at (0.0000, 0.5000, 0.2125), Zr at (0.5000, 0.5000, 0.5000), Co at (0.0000, 0.5000, 0.7519), Ni at (0.0000, 0.0000, 0.0000), Ge at (0.0000, 0.0000, 0.5000) and Ge at (0.5000, 0.5000, 0.0000).

***

Density functional theory data (PBE-GGA) for a relaxed LiCoGePb crystal.

The distance to the lowest polymorph of the same formula is 0.0 kJ/mol of formula units. As for the total magnetization: 0.4 μB per cell.

The space group is F-43m (No. 216) and the conventional cell measures 6.3880, 6.3880 and 6.3880 Å, with angles of 90.00, 90.00 and 90.00 degrees. The asymmetric unit holds Li at (0.0000, 0.0000, 0.0000), Co at (0.0000, 0.0000, 0.5000), Ge at (0.2500, 0.2500, 0.7500) and Pb at (0.2500, 0.2500, 0.2500).